1.
# PBE DyY6Tm8, optimized geometry
data_DyY6Tm8
_chemical_formula_sum 'Dy1 Y6 Tm8'
_cell_length_a 9.3797
_cell_length_b 9.3797
_cell_length_c 6.4125
_cell_angle_alpha 90.00
_cell_angle_beta 90.00
_cell_angle_gamma 120.00
_space_group_name_H-M_alt 'P -3'
_space_group_IT_number 147
_space_group_name_Hall '-P 3'
loop_
_atom_site_label
_atom_site_fract_x
_atom_site_fract_y
_atom_site_fract_z
Dy1 0.0000 0.0000 0.0000
Y1 0.1037 0.6839 0.9114
Tm1 0.0207 0.3340 0.5927
Tm2 0.3333 0.6667 0.3528
# Crystal system: trigonal
# ΔE to the lowest computed polymorph: 116 meV per atom
# Total DFT energy (no corrections): -0.18502 Ha/atom
# Energy of formation from the pure elements: 5.60 kcal/mol of atoms

***

2.
# PBE ThPaTcIr, optimized geometry
data_ThPaTcIr
_chemical_formula_sum 'Th4 Pa4 Tc4 Ir4'
_cell_length_a 7.016
_cell_length_b 7.016
_cell_length_c 7.016
_cell_angle_alpha 90.00
_cell_angle_beta 90.00
_cell_angle_gamma 90.00
_space_group_name_H-M_alt 'F -4 3 m'
_space_group_IT_number 216
_space_group_name_Hall 'F -4 2 3'
loop_
_atom_site_label
_atom_site_fract_x
_atom_site_fract_y
_atom_site_fract_z
Th1 0.000 0.000 0.000
Pa1 0.000 0.000 0.500
Tc1 0.250 0.250 0.250
Ir1 0.250 0.250 0.750
# Crystal system: cubic
# Total DFT energy (no corrections): -0.34464 Ha/atom
# Energy of formation from the pure elements: -7.90 kcal/mol of atoms